# BaHoIr2O8 PBE optimized geometry
data_BaHoIr2O8
_cell_length_a 5.9338
_cell_length_b 5.9338
_cell_length_c 7.6435
_cell_angle_alpha 90.00
_cell_angle_beta 90.00
_cell_angle_gamma 120.00
_space_group_name_H-M_alt 'P -3'
_space_group_IT_number 147
loop_
_space_group_symop_operation_xyz
'x,y,z'
'-x,-y,-z'
'-y,x-y,z'
'y,-x+y,-z'
'-x+y,-x,z'
'x-y,x,-z'
loop_
_atom_site_label
_atom_site_type_symbol
_atom_site_fract_x
_atom_site_fract_y
_atom_site_fract_z
Ba1 Ba 0.0000 0.0000 0.0000
Ho1 Ho 0.0000 0.0000 0.5000
Ir1 Ir 0.3333 0.6667 0.7665
O1 O 0.1549 0.3213 0.6955
O2 O 0.3333 0.6667 0.0056
# raw formation energy	-1.3744	eV/atom
# density of states at the Fermi level	0.9487	states/eV per atom

***

# LiBi3O5 PBE optimized geometry
data_LiBi3O5
_cell_length_a 10.6654
_cell_length_b 8.2500
_cell_length_c 6.5170
_cell_angle_alpha 90.00
_cell_angle_beta 90.00
_cell_angle_gamma 90.00
_space_group_name_H-M_alt 'P n m a'
_space_group_IT_number 62
loop_
_space_group_symop_operation_xyz
'x,y,z'
'-x,-y,-z'
'-x+1/2,-y,z+1/2'
'x+1/2,y,-z+1/2'
'x+1/2,-y+1/2,-z+1/2'
'-x+1/2,y+1/2,z+1/2'
'-x,y+1/2,-z'
'x,-y+1/2,z'
loop_
_atom_site_label
_atom_site_type_symbol
_atom_site_fract_x
_atom_site_fract_y
_atom_site_fract_z
Li1 Li 0.1259 0.2500 0.2108
Bi1 Bi 0.0497 0.7500 0.3537
Bi2 Bi 0.1637 0.5548 0.8972
O1 O 0.0194 0.7500 0.9770
O2 O 0.1358 0.5227 0.2480
O3 O 0.1847 0.7500 0.6147
O4 O 0.2123 0.2500 0.4922
# raw formation energy	-1.2799	eV/atom
# density of states at the Fermi level	0.0000	states/eV per atom

***

# TaSiTe2 PBE optimized geometry
data_TaSiTe2
_cell_length_a 8.6585
_cell_length_b 3.5692
_cell_length_c 6.9718
_cell_angle_alpha 90.00
_cell_angle_beta 98.87
_cell_angle_gamma 90.00
_space_group_name_H-M_alt 'C 1 m 1'
_space_group_IT_number 8
loop_
_space_group_symop_operation_xyz
'x,y,z'
'x,-y,z'
'x+1/2,y+1/2,z'
'x+1/2,-y+1/2,z'
loop_
_atom_site_label
_atom_site_type_symbol
_atom_site_fract_x
_atom_site_fract_y
_atom_site_fract_z
Ta1 Ta 0.0000 0.0000 0.0000
Si1 Si 0.2193 0.5000 0.0651
Te1 Te 0.0105 0.5000 0.3137
Te2 Te 0.2823 0.0000 0.7549
# raw formation energy	-0.0421	eV/atom
# density of states at the Fermi level	0.5564	states/eV per atom

***

Q: The highest density of states at the Fermi level belongs to which entry?
A: BaHoIr2O8

***

Q: Which formula does entry 2 have?
A: LiBi3O5